1.
GeTeAuI2 (PBE, relaxed); uncorrected formation energy = 0.47 eV/atom; offset from the most stable computed form = 0.000 eV/atom
1.0
5.495 0.000 0.000
0.000 5.495 0.000
0.000 0.000 5.678
Ge Te Au I
1 1 1 2
Direct
0.000 0.000 0.000 Ge
0.500 0.500 0.000 Te
0.500 0.500 0.500 Au
0.000 0.500 0.500 I
0.500 0.000 0.500 I

=====

2.
Y2GeAuI (PBE, relaxed); uncorrected formation energy = 0.41 eV/atom
1.0
5.615 0.000 0.000
0.000 5.615 0.000
0.000 0.000 5.151
Y Ge Au I
2 1 1 1
Direct
0.000 0.500 0.000 Y
0.500 0.000 0.000 Y
0.000 0.000 0.500 Ge
0.500 0.500 0.500 Au
0.500 0.500 0.000 I